An optimized crystal structure of TiCoN2F. Source: the Alexandria database, functional PBE with a Hubbard U. Values from VASP.

```
&SYSTEM
  ibrav = 0, nat = 5, ntyp = 4
/
ATOMIC_SPECIES
Ti 47.87 Ti.upf
Co 58.93 Co.upf
N 14.01 N.upf
F 19.00 F.upf
ATOMIC_POSITIONS crystal
Ti 0.000 0.000 0.000
Co 0.500 0.500 0.500
N 0.000 0.500 0.500
N 0.500 0.000 0.500
F 0.500 0.500 0.000
CELL_PARAMETERS angstrom
3.716 0.000 0.000
0.000 3.716 0.000
0.000 0.000 3.633
```

## Properties
SG = P4/mmm, No. 123
ρ = 5.1 g cm⁻³
electronic total energy = -6.270 eV/atom